A plane-wave DFT calculation with PBE was carried out for a relaxed structure of FeIr2Cl.

Unit cell a=2.8016 b=2.8016 c=7.4901 alpha=90.00 beta=90.00 gamma=90.00
Fractional coordinates of all 4 atoms:
1 Ir 0.0000 0.0000 0.5302
2 Ir 0.0000 0.0000 0.9698
3 Cl 0.5000 0.5000 0.2500
4 Fe 0.5000 0.5000 0.7500

Output
As for the raw total energy: -6.469 eV/atom. The formation energy from raw total energies comes out at 2.2 eV per formula unit. The space group is P4/mmm (123). The calculation puts the energy above the lowest structure with this stoichiometry at 198 meV per atom.

A plane-wave DFT calculation with PBE was carried out for a relaxed structure of Tb2HoErTl2.

Unit cell a=5.0900 b=6.7991 c=9.9706 alpha=90.00 beta=90.00 gamma=90.00
Fractional coordinates of all 12 atoms:
1 Tl 0.5000 0.2173 0.3687
2 Tl 0.0000 0.7996 0.1372
3 Tl 0.0000 0.2996 0.8628
4 Tl 0.5000 0.7173 0.6313
5 Er 0.5000 0.6805 0.3135
6 Er 0.5000 0.1805 0.6865
7 Tb 0.0000 0.3330 0.1875
8 Tb 0.5000 0.5529 0.9585
9 Tb 0.0000 0.8330 0.8125
10 Tb 0.5000 0.0529 0.0415
11 Ho 0.0000 0.4623 0.5412
12 Ho 0.0000 0.9623 0.4588

Output
As for the raw total energy: -4.123 eV/atom. The space group is Pmc2_1 (26). For the energy relative to the elements, the calculation gives -1.6 eV per formula unit.

A plane-wave DFT calculation with PBE was carried out for a relaxed structure of Ta2Fe.

Unit cell a=4.8740 b=4.8740 c=9.5604 alpha=90.00 beta=90.00 gamma=120.00
Fractional coordinates of all 12 atoms:
1 Ta 0.0000 0.0000 0.0000
2 Ta 0.0000 0.0000 0.5000
3 Ta 0.0000 0.6573 0.2500
4 Ta 0.3427 0.3427 0.2500
5 Ta 0.0000 0.3427 0.7500
6 Ta 0.6573 0.6573 0.7500
7 Ta 0.3427 0.0000 0.7500
8 Ta 0.6573 0.0000 0.2500
9 Fe 0.3333 0.6667 0.5000
10 Fe 0.3333 0.6667 0.0000
11 Fe 0.6667 0.3333 0.0000
12 Fe 0.6667 0.3333 0.5000

Output
As for the raw total energy: -10.440 eV/atom. The space group is P6_3/mcm (193). For the energy relative to the elements, the calculation gives 0.8 eV per formula unit.

A plane-wave DFT calculation with PBE was carried out for a relaxed structure of Ca2SmNpP4.

Unit cell a=4.0944 b=7.0555 c=7.0505 alpha=109.32 beta=90.00 gamma=90.00
Fractional coordinates of all 8 atoms:
1 Sm 0.0000 0.0000 0.0000
2 P 0.5000 0.2611 0.2317
3 P 0.0000 0.2698 0.7735
4 P 0.5000 0.7389 0.7683
5 P 0.0000 0.7302 0.2265
6 Ca 0.0000 0.5000 0.5000
7 Ca 0.5000 0.0000 0.5000
8 Np 0.5000 0.5000 0.0000

Output
As for the raw total energy: -6.539 eV/atom. The space group is P2/m (10). For the energy relative to the elements, the calculation gives -9.0 eV per formula unit.

A plane-wave DFT calculation with PBE was carried out for a relaxed structure of Sr2LiSF.

Unit cell a=5.8326 b=4.3881 c=5.8326 alpha=90.00 beta=90.00 gamma=90.00
Fractional coordinates of all 5 atoms:
1 Sr 0.0000 0.0000 0.5000
2 Sr 0.5000 0.0000 0.0000
3 S 0.0000 0.0000 0.0000
4 Li 0.0000 0.5000 0.0000
5 F 0.5000 0.5000 0.5000

Output
As for the raw total energy: -3.578 eV/atom. The formation energy from raw total energies comes out at -6.6 eV per formula unit. The space group is P4/mmm (123).

A plane-wave DFT calculation with PBE was carried out for a relaxed structure of IrSe3.

Unit cell a=4.5932 b=4.5932 c=4.5932 alpha=117.23 beta=117.23 gamma=94.88
Fractional coordinates of all 4 atoms:
1 Ir 0.0000 0.0000 0.0000
2 Se 0.2500 0.7500 0.5000
3 Se 0.5000 0.5000 0.0000
4 Se 0.7500 0.2500 0.5000

Output
As for the raw total energy: -4.121 eV/atom. The formation energy from raw total energies comes out at 2.8 eV per formula unit. The space group is I4/mmm (139). The calculation puts the energy above the lowest structure with this stoichiometry at 886 meV per atom.

A plane-wave DFT calculation with PBE was carried out for a relaxed structure of NbPSCl2.

Unit cell a=4.6657 b=4.6657 c=4.7433 alpha=90.00 beta=90.00 gamma=90.00
Fractional coordinates of all 5 atoms:
1 Cl 0.5000 0.0000 0.0000
2 Cl 0.0000 0.5000 0.0000
3 Nb 0.5000 0.5000 0.5000
4 S 0.0000 0.0000 0.0000
5 P 0.0000 0.0000 0.5000

Output
As for the raw total energy: -3.752 eV/atom. The formation energy from raw total energies comes out at 4.5 eV per formula unit. The space group is P4/mmm (123). The calculation puts the energy above the lowest structure with this stoichiometry at 873 meV per atom.

A plane-wave DFT calculation with PBE was carried out for a relaxed structure of NaLi2GePd.

Unit cell a=4.8620 b=4.8620 c=4.7213 alpha=90.00 beta=90.00 gamma=90.00
Fractional coordinates of all 5 atoms:
1 Li 0.0000 0.5000 0.0000
2 Li 0.5000 0.0000 0.0000
3 Na 0.5000 0.5000 0.5000
4 Ge 0.0000 0.0000 0.5000
5 Pd 0.0000 0.0000 0.0000

Output
As for the raw total energy: -3.220 eV/atom. The space group is P4/mmm (123). For the energy relative to the elements, the calculation gives -1.1 eV per formula unit.

The lowest raw total energy belongs to which entry?
Ta2Fe

Look up the raw total energy of the first one.
-6.469 eV/atom

Among the records above, which one has the highest raw total energy?
NaLi2GePd

Among the records above, which one has the highest raw total energy?
NaLi2GePd